## CaLa2Tb3 (PBE)

Data for crystalline CaLa2Tb3 at its relaxed geometry.

Lattice parameters (Å, degrees): 6.756 6.756 11.164 90.00 90.00 120.00
Atoms (fractional coordinates):
Ca 0.333 0.667 0.436
Ca 0.667 0.333 0.564
La 0.000 0.000 0.000
La 0.000 0.000 0.500
La 0.333 0.667 0.078
La 0.667 0.333 0.922
Tb 0.168 0.336 0.756
Tb 0.168 0.832 0.756
Tb 0.336 0.168 0.244
Tb 0.664 0.832 0.756
Tb 0.832 0.168 0.244
Tb 0.832 0.664 0.244

## Properties
Formation energy ... 0.210 eV per atom
SG ... P-3m1, No. 164
Raw total energy ... -4.08 eV/atom